Material: InPb2Au2
Method: DFT, PBE-GGA
State: relaxed

The energy of formation is 0.04 eV per atom. For the density of states at the Fermi level, the calculation gives 0.365 states/eV per atom. The calculation puts the energy relative to the lowest polymorph listed for this composition at 0.68 eV per formula unit. Its energy is -3.30 eV/atom.

Cell: 8.6236 8.6236 3.5084 Å, 90.00 90.00 90.00°
Last column: nearest neighbours and their distance in Å.
Fractional positions:
In 0.0000 0.0000 0.0000  4 Pb 3.32, 2 In 3.51, 8 Au 3.69
In 0.5000 0.5000 0.0000  4 Pb 3.32, 2 In 3.51, 8 Au 3.69
Pb 0.1422 0.3578 0.0000  6 Au 3.01-3.13, 2 In 3.32
Pb 0.3578 0.8578 0.0000  6 Au 3.01-3.13, 2 In 3.32
Pb 0.6422 0.1422 0.0000  6 Au 3.01-3.13, 2 In 3.32
Pb 0.8578 0.6422 0.0000  6 Au 3.01-3.13, 2 In 3.32
Au 0.1575 0.6575 0.5000  6 Pb 3.01-3.13
Au 0.3425 0.1575 0.5000  6 Pb 3.01-3.13
Au 0.6575 0.8425 0.5000  6 Pb 3.01-3.13
Au 0.8425 0.3425 0.5000  6 Pb 3.01-3.13